Ba2ScCdTe5: optimized geometry, PBE.

Values from the calculation:
Density = 5.5 Mg/m³
Total magnetic moment = 0.0 μB/f.u.
Formation energy (no corrections) = -1.1759 eV per atom

```
data_Ba2ScCdTe5
_space_group_name_H-M_alt 'C m c 21'
_space_group_IT_number 36
_cell_length_a 4.520
_cell_length_b 20.534
_cell_length_c 13.949
_cell_angle_alpha 90.00
_cell_angle_beta 90.00
_cell_angle_gamma 90.00
loop_
_space_group_symop_operation_xyz
'x,y,z'
'-x,-y,z+1/2'
'-x,y,z'
'x,-y,z+1/2'
'x+1/2,y+1/2,z'
'-x+1/2,-y+1/2,z+1/2'
'-x+1/2,y+1/2,z'
'x+1/2,-y+1/2,z+1/2'
loop_
_atom_site_label
_atom_site_type_symbol
_atom_site_fract_x
_atom_site_fract_y
_atom_site_fract_z
Ba1 Ba 0.000 0.120 0.000
Ba2 Ba 0.000 0.128 0.621
Sc1 Sc 0.000 0.209 0.324
Cd1 Cd 0.000 0.440 0.746
Te1 Te 0.000 0.065 0.367
Te2 Te 0.000 0.291 0.963
Te3 Te 0.000 0.301 0.680
Te4 Te 0.000 0.350 0.314
Te5 Te 0.000 0.497 0.070
```